## KBa2U3Se8 (PBE)

Data for crystalline KBa2U3Se8 at its relaxed geometry.

Properties
The calculation puts the energy relative to the elements, uncorrected at -1.383 eV per atom. As for the volume: 513 Å³ per cell. Its magnetization is 7.0 Bohr magnetons per cell.

```
data_KBa2U3Se8
_cell_length_a 8.735
_cell_length_b 8.734
_cell_length_c 9.253
_cell_angle_alpha 61.84
_cell_angle_beta 61.84
_cell_angle_gamma 60.00
_symmetry_space_group_name_H-M 'P 1'
_symmetry_Int_Tables_number 1
loop_
_symmetry_equiv_pos_as_xyz
'x,y,z'
loop_
_atom_site_label
_atom_site_type_symbol
_atom_site_fract_x
_atom_site_fract_y
_atom_site_fract_z
K1 K 0.869 0.869 0.393
Ba1 Ba 0.127 0.127 0.618
Ba2 Ba 0.501 0.501 0.496
U1 U 0.501 0.995 0.003
U2 U 0.995 0.501 0.003
U3 U 0.501 0.501 0.003
Se1 Se 0.267 0.267 0.198
Se2 Se 0.730 0.730 0.809
Se3 Se 0.250 0.250 0.800
Se4 Se 0.700 0.250 0.800
Se5 Se 0.250 0.700 0.800
Se6 Se 0.752 0.297 0.199
Se7 Se 0.297 0.752 0.199
Se8 Se 0.752 0.752 0.199
```